Entry 1:
11
Lattice="6.836 0.000 2.040 3.418 6.179 1.020 0.214 0.000 7.624" Properties=species:S:1:pos:R:3 comment="Nd6Rh3Cl2, optimized geometry, DFT GGA-PBE" dft_energy_ev_per_atom=-5.893 mass_density_g_cm3=6.474 formation_energy_uncorrected_ev_per_atom=-0.9520 pbc="T T T"
Nd 5.232 4.144 7.497
Nd 5.182 0.000 7.511
Nd 1.815 2.035 6.477
Nd 1.868 0.000 2.152
Nd 5.235 2.035 3.186
Nd 8.653 4.144 4.206
Rh 0.000 0.000 0.000
Rh 3.418 2.108 1.020
Rh 6.836 4.071 2.040
Cl 3.525 4.126 4.832
Cl 6.943 2.053 5.852


Entry 2:
3
Lattice="-2.157 0.467 -3.636 -2.089 -0.226 3.698 0.244 4.201 0.395" Properties=species:S:1:pos:R:3 comment="LaMnIr, optimized geometry, DFT GGA-PBE" dft_energy_ev_per_atom=-7.942 e_form_ev_per_atom=-0.29 mass_density_g_cm3=9.679 pbc="T T T"
Ir 0.203 3.501 0.329
La -2.053 1.636 -1.060
Mn -1.909 3.506 1.582


Entry 3:
3
Lattice="3.551 0.000 0.000 0.000 3.551 0.000 -1.775 -1.775 7.441" Properties=species:S:1:pos:R:3 comment="LaPuTh, optimized geometry, DFT GGA-PBE" dft_energy_ev_per_atom=-8.779 e_form_ev_per_atom=0.11 de_polymorph_mev_per_atom=0.0 mass_density_g_cm3=10.883 pbc="T T T"
Pu 0.000 0.000 0.130
Th 1.775 1.775 2.377
La 0.000 0.000 4.934


Entry 4:
8
Lattice="-1.843 -2.811 2.901 0.679 -3.358 -2.824 4.108 2.440 1.576" Properties=species:S:1:pos:R:3 comment="NaBe2SiO4, optimized geometry, DFT GGA-PBE" dft_energy_ev_per_atom=-6.222 mass_density_g_cm3=2.851 formation_energy_uncorrected_ev_per_atom=-1.9691 pbc="T T T"
Na 0.001 0.000 0.000
Be 0.842 -1.728 2.258
Be 2.103 -2.002 -0.604
Si -0.582 -3.085 0.039
O 2.258 -1.714 1.158
O 0.965 -3.385 -0.655
O -0.063 -3.162 1.678
O 2.732 0.802 1.127


Entry 5:
5
Lattice="-4.082 0.159 2.903 -1.081 -4.794 -1.258 2.704 -1.632 3.891" Properties=species:S:1:pos:R:3 comment="KSrNb2Tc, optimized geometry, DFT GGA-PBE" dft_energy_ev_per_atom=-3.793 e_form_ev_per_atom=2.86 mass_density_g_cm3=5.350 pbc="T T T"
K -0.541 -2.397 -0.629
Sr 0.000 0.000 0.000
Nb 1.352 -0.816 1.946
Nb -2.041 0.079 1.452
Tc -1.230 -3.133 2.768


Entry 6:
12
Lattice="-3.032 -2.380 -1.080 -0.157 0.430 6.910 -3.644 5.812 -2.576" Properties=species:S:1:pos:R:3 comment="NaAcReN3, optimized geometry, DFT GGA-PBE" dft_energy_ev_per_atom=-7.633 mass_density_g_cm3=8.569 formation_energy_uncorrected_ev_per_atom=-0.4906 pbc="T T T"
Na -4.505 4.855 1.948
Na -2.329 -0.993 1.306
Ac -4.108 1.946 -0.173
Ac -2.725 1.917 3.427
Re -0.732 1.147 -0.472
Re -6.102 2.716 3.727
N -3.417 -0.632 3.566
N -5.036 2.046 2.213
N -2.299 0.011 -0.990
N -1.797 1.817 1.042
N -4.535 3.851 4.244
N -3.417 4.495 -0.312


Entry 7:
18
Lattice="5.923 0.000 0.000 0.000 5.923 0.000 0.000 0.000 11.860" Properties=species:S:1:pos:R:3 comment="Pu2SiS6, optimized geometry, DFT GGA-PBE" dft_energy_ev_per_atom=-7.446 mass_density_g_cm3=5.655 formation_energy_uncorrected_ev_per_atom=-0.9065 pbc="T T T"
Pu 0.000 0.000 3.954
Pu 2.962 2.962 9.884
Pu 2.962 2.962 1.976
Pu 0.000 0.000 7.906
Si 0.000 0.000 0.000
Si 2.962 2.962 5.930
S 1.884 1.884 4.191
S 4.039 4.039 4.191
S 1.078 4.845 10.121
S 4.845 1.078 10.121
S 1.078 4.845 1.739
S 4.845 1.078 1.739
S 1.884 1.884 7.669
S 4.039 4.039 7.669
S 1.687 1.687 0.000
S 4.236 4.236 0.000
S 1.274 4.649 5.930
S 4.649 1.274 5.930


Entry 8:
4
Lattice="-3.622 -0.350 4.262 -3.385 -4.253 1.362 0.219 -3.331 4.501" Properties=species:S:1:pos:R:3 comment="LaCd2Rh, optimized geometry, DFT GGA-PBE" dft_energy_ev_per_atom=-3.897 e_form_ev_per_atom=-0.37 mass_density_g_cm3=7.786 pbc="T T T"
La -3.376 -3.945 5.035
Cd -6.557 -7.663 9.779
Cd -4.864 -5.686 7.255
Rh -2.174 -2.541 3.243